Entry from Alexandria: crystalline KBa2Sr5 at its relaxed geometry (PBE-GGA).

```
16
Lattice="4.030 0.000 0.000 -2.015 13.088 0.000 0.000 0.000 19.879" Properties=species:S:1:pos:R:3 pbc="T T T"
Ba 0.000 3.273 18.765
Ba 2.015 9.815 1.114
Ba 2.015 9.815 8.826
Ba 0.000 3.273 11.054
Sr 0.000 6.081 1.806
Sr 2.015 7.007 11.746
Sr 0.000 4.864 14.910
Sr 2.015 12.393 12.008
Sr 2.015 12.393 17.811
Sr 0.000 0.695 7.871
Sr 2.015 7.007 18.073
Sr 0.000 0.695 2.068
Sr 2.015 8.224 4.970
Sr 0.000 6.081 8.134
K 2.015 9.422 14.910
K 0.000 3.666 4.970
```

Calculated values
ΔH_f (0 K) (kJ/mol of atoms): 27


Entry from Alexandria: crystalline Sm3Tm3Sc2 at its relaxed geometry (PBE-GGA).

```
8
Lattice="-4.522 -0.895 -2.863 3.110 -1.694 -4.382 0.577 -6.206 6.171" Properties=species:S:1:pos:R:3 pbc="T T T"
Sc 0.123 -3.847 1.009
Sc -0.957 -4.948 -2.084
Sm 1.674 -3.042 -1.692
Sm -2.508 -5.753 0.617
Sm 0.000 0.000 0.000
Tm -2.416 -2.458 -0.558
Tm 1.582 -6.337 -0.517
Tm -0.706 -1.295 -3.623
```

Calculated values
ΔH_f (0 K) (kJ/mol of atoms): 8
Energy above the most stable polymorph in this dataset (eV/atom): 0.038


Entry from Alexandria: crystalline BaCd at its relaxed geometry (PBE-GGA).

```
4
Lattice="4.655 0.000 0.000 -2.328 4.032 0.000 0.000 0.000 9.828" Properties=species:S:1:pos:R:3 pbc="T T T"
Ba 2.328 1.344 3.095
Ba 0.000 0.000 9.190
Cd 2.328 1.344 6.808
Cd 0.000 0.000 5.477
```

Calculated values
ΔH_f (0 K) (kJ/mol of atoms): -7


Entry from Alexandria: crystalline Y2Ga3 at its relaxed geometry (PBE-GGA).

```
10
Lattice="-3.157 0.820 -2.633 -1.816 -3.603 1.055 -4.741 5.537 10.748" Properties=species:S:1:pos:R:3 pbc="T T T"
Ga -8.957 3.370 8.454
Ga -1.960 0.517 2.512
Ga -3.580 -0.615 4.101
Ga -7.754 2.238 6.659
Ga -6.134 3.369 5.069
Ga -0.757 -0.615 0.716
Y -5.105 0.821 6.378
Y -3.855 -1.431 0.839
Y -5.859 4.186 8.331
Y -4.609 1.934 2.793
```

Calculated values
ΔH_f (0 K) (kJ/mol of atoms): -64


Entry from Alexandria: crystalline BeRhBr2 at its relaxed geometry (PBE-GGA).

```
8
Lattice="-1.593 -3.299 -0.819 3.542 -2.078 -5.145 5.583 -5.012 3.306" Properties=species:S:1:pos:R:3 pbc="T T T"
Rh 3.427 -3.710 1.070
Rh 2.672 -4.895 -1.242
Be 3.902 -5.783 0.202
Be 3.990 -5.866 -2.702
Br 4.143 -7.848 0.838
Br 1.167 -2.898 0.511
Br 5.416 -7.520 -2.508
Br 3.255 -2.730 -2.399
```

Calculated values
Energy above the most stable polymorph in this dataset (eV/atom): 0.049
E_form (uncorrected) (eV per formula unit): -1.42


Entry from Alexandria: crystalline TiSiTcI2 at its relaxed geometry (PBE-GGA).

```
5
Lattice="5.462 0.000 0.000 0.000 4.984 0.000 0.000 0.000 5.462" Properties=species:S:1:pos:R:3 pbc="T T T"
Si 0.000 0.000 0.000
Tc 2.731 2.492 2.731
I 2.731 0.000 0.000
I 0.000 0.000 2.731
Ti 0.000 2.492 0.000
```

Calculated values
E_form (uncorrected) (eV per formula unit): 6.87


Entry from Alexandria: crystalline ScB2SbI at its relaxed geometry (PBE-GGA).

```
5
Lattice="-4.318 -0.865 -1.084 -0.353 -3.549 4.234 -1.356 3.372 2.713" Properties=species:S:1:pos:R:3 pbc="T T T"
I 0.000 0.000 0.000
Sc -0.176 -1.774 2.117
B -0.678 1.686 1.357
B -2.159 -0.432 -0.542
Sb -3.014 -0.521 2.932
```

Calculated values
E_form (uncorrected) (eV per formula unit): 7.89


Entry from Alexandria: crystalline Mg2FeTe at its relaxed geometry (PBE-GGA).

```
4
Lattice="5.426 -0.001 -0.073 2.336 4.898 0.073 -3.859 -2.484 2.897" Properties=species:S:1:pos:R:3 pbc="T T T"
Mg 7.758 4.894 0.000
Mg 3.885 2.451 0.000
Fe 1.179 2.431 1.485
Te 2.725 -0.018 1.412
```

Calculated values
E_form (uncorrected) (eV per formula unit): 0.56


Entry from Alexandria: crystalline Ca14AcY at its relaxed geometry (PBE-GGA).

```
16
Lattice="-5.556 -2.189 -4.982 5.174 0.070 -5.806 2.373 -10.545 1.987" Properties=species:S:1:pos:R:3 pbc="T T T"
Ca 1.833 -2.869 -2.345
Ca -0.443 -7.144 -6.995
Ca 4.385 -2.834 -5.208
Ca -3.029 -7.179 -4.092
Ca 0.288 -9.264 -3.800
Ca -0.252 -6.085 -1.600
Ca 5.581 -8.150 -4.206
Ca 3.029 -8.185 -1.344
Ca -1.627 -1.871 -7.989
Ca 2.335 -6.050 -4.504
Ca -1.436 -0.812 -2.594
Ca 1.645 -3.913 -7.664
Ca 2.841 -9.230 -6.662
Ca -0.908 -3.949 -4.801
Ac -4.212 -1.906 -5.086
Y 1.151 -0.777 -5.497
```

Calculated values
ΔH_f (0 K) (kJ/mol of atoms): 5


Entry from Alexandria: crystalline MnAsSe2 at its relaxed geometry (PBE-GGA).

```
4
Lattice="3.662 0.000 0.000 0.000 7.497 0.000 0.000 0.000 3.666" Properties=species:S:1:pos:R:3 pbc="T T T"
Mn 0.000 3.749 1.833
Se 0.000 0.000 0.000
Se 1.831 3.749 0.000
As 1.831 0.000 1.833
```

Calculated values
E_form (uncorrected) (eV per formula unit): 0.45


Entry from Alexandria: crystalline SnGeAs2 at its relaxed geometry (PBE-GGA).

```
4
Lattice="3.980 0.000 0.000 1.990 3.447 0.000 1.990 1.149 6.464" Properties=species:S:1:pos:R:3 pbc="T T T"
Sn 3.980 2.298 3.232
As 1.990 1.149 1.499
As 5.970 3.447 4.965
Ge 0.000 0.000 0.000
```

Calculated values
ΔH_f (0 K) (kJ/mol of atoms): 3
Energy above the most stable polymorph in this dataset (eV/atom): 0.031


Entry from Alexandria: crystalline LiNiI at its relaxed geometry (PBE-GGA).

```
6
Lattice="11.568 0.000 0.006 2.868 2.196 -2.535 -2.868 2.196 2.535" Properties=species:S:1:pos:R:3 pbc="T T T"
Li 8.882 2.196 0.723
Li 9.799 2.196 -2.114
Ni 3.985 2.196 0.458
Ni 6.200 2.196 1.410
I 13.495 2.196 -1.771
I 5.968 2.196 -1.120
```

Calculated values
Energy above the most stable polymorph in this dataset (eV/atom): 0.113
E_form (uncorrected) (eV per formula unit): -0.46


Entry from Alexandria: crystalline RbAlCdF6 at its relaxed geometry (PBE-GGA).

```
18
Lattice="-4.415 2.012 5.871 -2.311 -6.899 0.626 7.194 1.452 -0.027" Properties=species:S:1:pos:R:3 pbc="T T T"
F -3.130 -2.332 5.050
F -0.503 0.392 2.763
F 0.970 -3.827 3.706
F 3.598 -1.104 1.419
F -3.897 -4.180 3.442
F -1.991 1.070 4.742
F 4.364 0.745 3.027
F 1.123 2.018 5.094
F 2.458 -4.505 1.728
F -0.656 -5.453 1.375
F 2.110 -0.426 3.397
F -1.642 -3.009 3.072
Cd 3.597 0.726 -0.014
Cd 1.390 1.732 2.922
Rb 0.554 -2.018 1.108
Rb -0.086 -1.418 5.361
Al -3.363 -2.444 3.248
Al -2.208 1.006 2.936
```

Calculated values
E_form (uncorrected) (eV per formula unit): -26.89


Entry from Alexandria: crystalline PmHo2RuN4 at its relaxed geometry (PBE-GGA).

```
16
Lattice="-3.088 1.264 -0.748 0.014 -1.063 5.962 3.930 10.723 1.903" Properties=species:S:1:pos:R:3 pbc="T T T"
N 0.000 0.000 0.000
N 1.172 9.788 3.891
N -0.732 3.265 0.724
N 1.588 7.659 6.394
N 1.965 5.362 0.952
N -0.316 1.136 3.226
N 0.647 3.765 3.693
N 0.209 7.159 3.425
Ho 1.002 5.496 5.155
Ho -0.146 5.428 1.962
Ho 2.635 9.952 5.946
Ho -1.779 0.972 1.171
Pm 2.574 7.937 2.792
Pm -1.718 2.987 4.326
Ru 0.306 8.365 5.062
Ru 0.550 2.559 2.056
```

Calculated values
E_form (uncorrected) (eV per formula unit): -8.32


Entry from Alexandria: crystalline Sc5ZnAg4 at its relaxed geometry (PBE-GGA).

```
10
Lattice="-0.200 -3.383 -0.325 3.015 -0.327 1.546 -7.924 -0.997 15.240" Properties=species:S:1:pos:R:3 pbc="T T T"
Sc -4.161 -2.556 11.322
Sc -2.554 -2.353 8.231
Sc 0.655 -1.950 2.058
Sc -0.947 -2.151 5.140
Sc -5.763 -2.757 14.403
Ag -3.159 -0.398 6.077
Ag -6.374 -0.802 12.260
Ag -1.550 -0.195 2.981
Ag -4.765 -0.600 9.164
Zn 0.000 0.000 0.000
```

Calculated values
ΔH_f (0 K) (kJ/mol of atoms): -29


Entry from Alexandria: crystalline Co2AsS at its relaxed geometry (PBE-GGA).

```
8
Lattice="5.052 0.000 0.000 0.000 5.052 0.000 2.526 2.526 5.165" Properties=species:S:1:pos:R:3 pbc="T T T"
Co 3.789 3.942 3.874
Co 6.315 6.163 3.874
Co 1.416 3.789 1.291
Co 3.636 1.263 1.291
As 5.052 2.526 2.583
As 0.000 0.000 0.000
S 2.526 2.526 0.000
S 2.526 5.052 2.583
```

Calculated values
E_form (uncorrected) (eV per formula unit): -0.53


Entry from Alexandria: crystalline SrZrW2 at its relaxed geometry (PBE-GGA).

```
4
Lattice="-2.769 0.496 1.009 1.450 -1.942 1.748 3.524 7.859 5.809" Properties=species:S:1:pos:R:3 pbc="T T T"
W 0.143 0.319 0.236
W 0.156 1.096 2.724
Sr 2.070 5.364 5.878
Zr 1.597 3.561 2.632
```

Calculated values
ΔH_f (0 K) (kJ/mol of atoms): 63
Energy above the most stable polymorph in this dataset (eV/atom): 0.132


Entry from Alexandria: crystalline RbSrTe2Pb at its relaxed geometry (PBE-GGA).

```
5
Lattice="-4.697 3.500 2.236 -3.874 -4.256 -1.477 0.731 -2.626 5.646" Properties=species:S:1:pos:R:3 pbc="T T T"
Rb -1.937 -2.128 -0.739
Pb 0.000 0.000 0.000
Sr -3.920 -1.691 3.202
Te -2.349 1.750 1.118
Te 0.366 -1.313 2.823
```

Calculated values
E_form (uncorrected) (eV per formula unit): -0.92


Entry from Alexandria: crystalline V2Co17 at its relaxed geometry (PBE-GGA).

```
19
Lattice="-2.394 3.452 -4.461 -5.128 1.692 2.896 1.927 5.455 2.021" Properties=species:S:1:pos:R:3 pbc="T T T"
Co -5.038 9.544 0.410
Co -4.506 4.592 1.586
Co -0.180 4.331 2.282
Co -2.433 5.142 2.487
Co -4.558 4.157 -0.699
Co 0.637 4.857 0.085
Co -3.162 5.457 -2.032
Co -3.211 2.926 -2.264
Co -4.312 2.218 0.699
Co 0.964 2.727 1.010
Co -1.089 6.007 -1.130
Co -3.021 2.816 2.635
Co -1.104 4.050 -2.526
Co -1.037 6.442 1.155
Co -1.197 1.726 -2.231
Co -2.564 0.846 1.448
Co -0.557 1.055 0.045
V -1.818 3.444 0.148
V -3.777 7.155 0.308
```

Calculated values
ΔH_f (0 K) (kJ/mol of atoms): 12


Entry from Alexandria: crystalline SrRe2Ir at its relaxed geometry (PBE-GGA).

```
4
Lattice="-1.059 -1.957 -1.621 3.548 -1.479 -0.531 -0.931 -4.332 5.839" Properties=species:S:1:pos:R:3 pbc="T T T"
Sr 1.012 -2.801 0.384
Ir 0.546 -4.967 3.303
Re -0.535 -2.490 3.357
Re -0.862 -4.008 5.402
```

Calculated values
ΔH_f (0 K) (kJ/mol of atoms): 67
Energy above the most stable polymorph in this dataset (eV/atom): 0.254